A plane-wave DFT calculation with GGA-PBE was carried out for a relaxed Sc2CuP crystal.

```
Sc2CuP
1.0
-1.759 2.002 4.900
1.759 -2.002 4.900
1.759 2.002 -4.900
Sc Cu P
2 1 1
direct
0.000 0.000 0.000
0.735 0.235 0.500
0.461 0.461 0.000
0.286 0.786 0.500
```

E_form = -0.642 eV per atom
N(E_F) = 3.1 states/eV/cell
DFT total energy = -24.7 eV per formula unit